[1]
VASP calculation (PBE) on LaW2 after structural relaxation.

Cell: 6.3540 4.6109 8.9061 Å, 90.00 90.00 90.00°
Last column: nearest neighbours and their distance in Å.
Positions (direct):
La  0.1214  0.2500  0.0683  2 La 3.03, 10 W 3.04-3.37
La  0.3786  0.7500  0.5683  2 La 3.03, 10 W 3.04-3.37
La  0.6214  0.2500  0.4317  2 La 3.03, 10 W 3.04-3.37
La  0.8786  0.7500  0.9317  2 La 3.03, 10 W 3.04-3.37
W  0.0665  0.2500  0.6917  3 W 2.52-2.69
W  0.0989  0.2500  0.4101  3 W 2.52-2.69
W  0.4011  0.7500  0.9101  3 W 2.52-2.69
W  0.4335  0.7500  0.1917  3 W 2.52-2.69
W  0.5665  0.2500  0.8083  3 W 2.52-2.69
W  0.5989  0.2500  0.0899  3 W 2.52-2.69
W  0.9011  0.7500  0.5899  3 W 2.52-2.69
W  0.9335  0.7500  0.3083  3 W 2.52-2.69

The value obtained for the total DFT energy (no corrections) is -114.86 eV per cell.

---

[2]
VASP calculation (PBE) on LaW2 after structural relaxation.

Cell: 4.2718 4.2718 4.8209 Å, 90.00 90.00 120.00°
Last column: nearest neighbours and their distance in Å.
Positions (direct):
La  0.0000  0.0000  0.0000  12 W 3.45
W  0.3333  0.6667  0.5000  3 W 2.47
W  0.6667  0.3333  0.5000  3 W 2.47

The value obtained for the total DFT energy (no corrections) is -28.41 eV per cell.

---

[3]
VASP calculation (PBE) on LaW3 after structural relaxation.

Cell: 9.8314 9.8314 9.8314 Å, 17.89 17.89 17.89°
Last column: nearest neighbours and their distance in Å.
Positions (direct):
La  0.0000  0.0000  0.0000  6 La 3.06, 6 W 3.31
W  0.2366  0.2366  0.2366  3 W 2.69
W  0.5000  0.5000  0.5000  6 W 2.69
W  0.7634  0.7634  0.7634  3 W 2.69

The polymorph energy (0 for the lowest one) is 25.07 kJ per mole of atoms.

---

[4]
VASP calculation (PBE) on La4W5 after structural relaxation.

Cell: 7.7589 7.7589 7.7589 Å, 92.71 92.71 154.89°
Last column: nearest neighbours and their distance in Å.
Positions (direct):
La  0.0000  0.3162  0.3162  4 W 2.93, 4 La 3.26
La  0.0000  0.6838  0.6838  4 W 2.93, 4 La 3.26
La  0.3162  0.0000  0.3162  4 W 2.93, 4 La 3.26
La  0.6838  0.0000  0.6838  4 W 2.93, 4 La 3.26
W  0.0000  0.0000  0.0000  8 W 2.85
W  0.3481  0.3481  0.6961  2 W 2.85, 4 La 2.93
W  0.3481  0.6519  0.0000  2 W 2.85, 4 La 2.93
W  0.6519  0.3481  0.0000  2 W 2.85, 4 La 2.93
W  0.6519  0.6519  0.3039  2 W 2.85, 4 La 2.93

The value obtained for the total DFT energy (no corrections) is -77.13 eV per cell.

---

[5]
VASP calculation (PBE) on LaW8 after structural relaxation.

Cell: 6.3360 6.3360 6.3360 Å, 97.69 97.69 137.09°
Last column: nearest neighbours and their distance in Å.
Positions (direct):
La  0.0000  0.0000  0.0000  12 W 2.90-3.17
W  0.0000  0.3472  0.3472  3 W 2.55-2.65
W  0.0000  0.6528  0.6528  3 W 2.55-2.65
W  0.3166  0.3166  0.6332  4 W 2.65-2.80
W  0.3166  0.6834  0.0000  4 W 2.65-2.80
W  0.3472  0.0000  0.3472  3 W 2.55-2.65
W  0.6528  0.0000  0.6528  3 W 2.55-2.65
W  0.6834  0.3166  0.0000  4 W 2.65-2.80
W  0.6834  0.6834  0.3668  4 W 2.65-2.80

The value obtained for the total DFT energy (no corrections) is -102.93 eV per cell.

---

[6]
VASP calculation (PBE) on La3W5 after structural relaxation.

Cell: 10.1013 10.1013 4.7282 Å, 90.00 90.00 120.00°
Last column: nearest neighbours and their distance in Å.
Positions (direct):
La  0.0000  0.3795  0.2500  8 W 3.33-3.37, 2 La 3.39
La  0.0000  0.6205  0.7500  8 W 3.33-3.37, 2 La 3.39
La  0.3795  0.0000  0.2500  8 W 3.33-3.37, 2 La 3.39
La  0.3795  0.3795  0.7500  8 W 3.33-3.37, 2 La 3.39
La  0.6205  0.0000  0.7500  8 W 3.33-3.37, 2 La 3.39
La  0.6205  0.6205  0.2500  8 W 3.33-3.37, 2 La 3.39
W  0.0000  0.1473  0.7500  6 W 2.58-2.79
W  0.0000  0.8527  0.2500  6 W 2.58-2.79
W  0.1473  0.0000  0.7500  6 W 2.58-2.79
W  0.1473  0.1473  0.2500  6 W 2.58-2.79
W  0.3333  0.6667  0.0000  2 W 2.36
W  0.3333  0.6667  0.5000  2 W 2.36
W  0.6667  0.3333  0.0000  2 W 2.36
W  0.6667  0.3333  0.5000  2 W 2.36
W  0.8527  0.0000  0.2500  6 W 2.58-2.79
W  0.8527  0.8527  0.7500  6 W 2.58-2.79

The polymorph energy (0 for the lowest one) is 3.83 kJ per mole of atoms.

---

[7]
VASP calculation (PBE) on La3W4 after structural relaxation.

Cell: 15.3678 15.3678 15.3678 Å, 167.66 167.66 17.49°
Last column: nearest neighbours and their distance in Å.
Positions (direct):
La  0.0000  0.0000  0.0000  10 W 3.30-3.61, 4 La 3.30
La  0.3078  0.3078  0.0000  5 W 3.23-3.50, 4 La 3.30
La  0.6922  0.6922  0.0000  5 W 3.23-3.50, 4 La 3.30
W  0.1188  0.1188  0.0000  4 W 2.66
W  0.4232  0.4232  0.0000  4 W 2.66
W  0.5768  0.5768  0.0000  4 W 2.66
W  0.8812  0.8812  0.0000  4 W 2.66

The polymorph energy (0 for the lowest one) is 0.00 kJ per mole of atoms.

---

[8]
VASP calculation (PBE) on La3W5 after structural relaxation.

Cell: 5.9842 5.9842 4.9467 Å, 90.00 90.00 103.48°
Last column: nearest neighbours and their distance in Å.
Positions (direct):
La  0.0000  0.0000  0.0000  4 W 2.99, 4 La 3.20
La  0.2160  0.7840  0.5000  8 W 2.94-3.20, 2 La 3.20
La  0.7840  0.2160  0.5000  8 W 2.94-3.20, 2 La 3.20
W  0.0000  0.5000  0.0000  6 La 2.99-3.11, 2 W 2.99
W  0.3330  0.3330  0.5000  3 W 2.47-2.77
W  0.5000  0.0000  0.0000  6 La 2.99-3.11, 2 W 2.99
W  0.5000  0.5000  0.0000  8 W 2.77-2.99
W  0.6670  0.6670  0.5000  3 W 2.47-2.77

The polymorph energy (0 for the lowest one) is 0.00 kJ per mole of atoms.

---

[9]
VASP calculation (PBE) on LaW5 after structural relaxation.

Cell: 5.6014 5.6014 4.4295 Å, 90.00 90.00 120.00°
Last column: nearest neighbours and their distance in Å.
Positions (direct):
La  0.0000  0.0000  0.0000  18 W 3.23-3.57
W  0.0000  0.5000  0.5000  8 W 2.74-2.80
W  0.3333  0.6667  0.0000  6 W 2.74
W  0.5000  0.0000  0.5000  8 W 2.74-2.80
W  0.5000  0.5000  0.5000  8 W 2.74-2.80
W  0.6667  0.3333  0.0000  6 W 2.74

The polymorph energy (0 for the lowest one) is 0.00 kJ per mole of atoms.

---

[10]
VASP calculation (PBE) on LaW3 after structural relaxation.

Cell: 5.2566 5.2566 5.5939 Å, 105.79 105.79 35.81°
Last column: nearest neighbours and their distance in Å.
Positions (direct):
La  0.0000  0.0000  0.0000  10 W 3.23-3.35, 2 La 3.23
W  0.2173  0.2173  0.6534  4 W 2.57-2.65
W  0.5000  0.5000  0.5000  4 W 2.65
W  0.7827  0.7827  0.3466  4 W 2.57-2.65

The polymorph energy (0 for the lowest one) is 25.15 kJ per mole of atoms.

---

[11]
VASP calculation (PBE) on LaW2 after structural relaxation.

Cell: 8.4419 8.4419 8.4419 Å, 150.48 150.48 42.24°
Last column: nearest neighbours and their distance in Å.
Positions (direct):
La  0.3750  0.6250  0.7500  12 W 3.30-3.41
La  0.6250  0.3750  0.2500  12 W 3.30-3.41
W  0.0433  0.7933  0.2500  3 W 2.55-2.57
W  0.2067  0.9567  0.2500  3 W 2.55-2.57
W  0.7933  0.0433  0.7500  3 W 2.55-2.57
W  0.9567  0.2067  0.7500  3 W 2.55-2.57

The value obtained for the total DFT energy (no corrections) is -56.10 eV per cell.

---

[12]
VASP calculation (PBE) on LaW5 after structural relaxation.

Cell: 5.4822 5.4822 6.7561 Å, 106.99 106.99 33.90°
Last column: nearest neighbours and their distance in Å.
Positions (direct):
La  0.0000  0.0000  0.0000  8 W 2.92-3.00, 2 La 3.20
W  0.0000  0.0000  0.5000  8 W 2.83-2.85
W  0.3224  0.3224  0.6462  6 W 2.63-2.85
W  0.3306  0.3306  0.1817  6 W 2.76-2.98, 2 La 2.92
W  0.6694  0.6694  0.8183  6 W 2.76-2.98, 2 La 2.92
W  0.6776  0.6776  0.3538  6 W 2.63-2.85

The polymorph energy (0 for the lowest one) is 13.13 kJ per mole of atoms.

---

[13]
VASP calculation (PBE) on LaW3 after structural relaxation.

Cell: 4.5020 5.5541 7.1969 Å, 90.00 90.00 90.00°
Last column: nearest neighbours and their distance in Å.
Positions (direct):
La  0.2500  0.2500  0.0727  10 W 3.29-3.60
La  0.7500  0.7500  0.9273  10 W 3.29-3.60
W  0.2500  0.5054  0.6283  7 W 2.62-2.91
W  0.2500  0.7500  0.3177  6 W 2.62-2.69
W  0.2500  0.9946  0.6283  7 W 2.62-2.91
W  0.7500  0.0054  0.3717  7 W 2.62-2.91
W  0.7500  0.2500  0.6823  6 W 2.62-2.69
W  0.7500  0.4946  0.3717  7 W 2.62-2.91

The polymorph energy (0 for the lowest one) is 14.45 kJ per mole of atoms.

---

[14]
VASP calculation (PBE) on LaW3 after structural relaxation.

Cell: 2.7388 4.5586 6.2892 Å, 90.00 90.00 90.00°
Last column: nearest neighbours and their distance in Å.
Positions (direct):
La  0.0000  0.0000  0.0000  2 La 2.74, 2 W 2.99
W  0.0000  0.5000  0.3070  8 W 2.74-2.98, 2 La 2.99
W  0.5000  0.0000  0.4964  8 W 2.71-2.91
W  0.5000  0.5000  0.7283  6 W 2.71-2.98

The polymorph energy (0 for the lowest one) is 38.35 kJ per mole of atoms.

---

[15]
VASP calculation (PBE) on LaW3 after structural relaxation.

Cell: 5.6315 5.6315 5.6315 Å, 147.46 126.21 64.30°
Last column: nearest neighbours and their distance in Å.
Positions (direct):
La  0.0000  0.0000  0.0000  8 W 2.98-3.00, 2 La 3.16
W  0.2650  0.7650  0.5000  6 W 2.74-3.01, 2 La 2.98
W  0.5000  0.5000  0.0000  4 W 2.74, 4 La 3.00
W  0.7350  0.2350  0.5000  6 W 2.74-3.01, 2 La 2.98

The polymorph energy (0 for the lowest one) is 32.59 kJ per mole of atoms.

---

[16]
VASP calculation (PBE) on LaW3 after structural relaxation.

Cell: 3.2017 3.2017 7.8679 Å, 90.00 90.00 90.00°
Last column: nearest neighbours and their distance in Å.
Positions (direct):
La  0.0000  0.0000  0.0000  4 La 3.20, 8 W 3.32
W  0.0000  0.0000  0.5000  8 W 2.72
W  0.5000  0.5000  0.3087  5 W 2.72-3.01
W  0.5000  0.5000  0.6913  5 W 2.72-3.01

The polymorph energy (0 for the lowest one) is 4.08 kJ per mole of atoms.

---

[17]
VASP calculation (PBE) on LaW2 after structural relaxation.

Cell: 5.2175 5.2175 5.2175 Å, 148.48 124.63 65.12°
Last column: nearest neighbours and their distance in Å.
Positions (direct):
La  0.0000  0.0000  0.0000  2 W 2.78, 2 La 2.83
W  0.3164  0.3164  0.0000  1 La 2.78, 6 W 2.83-3.04
W  0.6836  0.6836  0.0000  1 La 2.78, 6 W 2.83-3.04

The value obtained for the total DFT energy (no corrections) is -27.78 eV per cell.

---

[18]
VASP calculation (PBE) on LaW3 after structural relaxation.

Cell: 4.8486 4.8486 4.8486 Å, 90.00 90.00 90.00°
Last column: nearest neighbours and their distance in Å.
Positions (direct):
La  0.0000  0.0000  0.0000  6 W 2.42
W  0.0000  0.0000  0.5000  2 La 2.42
W  0.0000  0.5000  0.0000  2 La 2.42
W  0.5000  0.0000  0.0000  2 La 2.42

The polymorph energy (0 for the lowest one) is 346.91 kJ per mole of atoms.

---

[19]
VASP calculation (PBE) on LaW3 after structural relaxation.

Cell: 6.6978 6.6978 8.6963 Å, 90.00 90.00 120.00°
Last column: nearest neighbours and their distance in Å.
Positions (direct):
La  0.0000  0.0000  0.0000  12 W 3.22-3.35
La  0.0000  0.0000  0.5000  12 W 3.22-3.35
La  0.3333  0.6667  0.2500  6 W 2.91
La  0.6667  0.3333  0.7500  6 W 2.91
W  0.0000  0.5000  0.0000  4 W 2.79, 2 La 2.91
W  0.0000  0.5000  0.5000  4 W 2.79, 2 La 2.91
W  0.2052  0.4105  0.7500  6 W 2.57-2.79
W  0.2052  0.7948  0.7500  6 W 2.57-2.79
W  0.4105  0.2052  0.2500  6 W 2.57-2.79
W  0.5000  0.0000  0.0000  4 W 2.79, 2 La 2.91
W  0.5000  0.0000  0.5000  4 W 2.79, 2 La 2.91
W  0.5000  0.5000  0.0000  4 W 2.79, 2 La 2.91
W  0.5000  0.5000  0.5000  4 W 2.79, 2 La 2.91
W  0.5895  0.7948  0.7500  6 W 2.57-2.79
W  0.7948  0.2052  0.2500  6 W 2.57-2.79
W  0.7948  0.5895  0.2500  6 W 2.57-2.79

The polymorph energy (0 for the lowest one) is 47.51 kJ per mole of atoms.

---

[20]
VASP calculation (PBE) on La7W after structural relaxation.

Cell: 7.1004 7.1004 7.1004 Å, 60.00 60.00 60.00°
Last column: nearest neighbours and their distance in Å.
Positions (direct):
La  0.0000  0.0000  0.0000  12 La 3.55
La  0.0000  0.0000  0.5000  10 La 3.55, 2 W 3.55
La  0.0000  0.5000  0.0000  10 La 3.55, 2 W 3.55
La  0.0000  0.5000  0.5000  10 La 3.55, 2 W 3.55
La  0.5000  0.0000  0.0000  10 La 3.55, 2 W 3.55
La  0.5000  0.0000  0.5000  10 La 3.55, 2 W 3.55
La  0.5000  0.5000  0.0000  10 La 3.55, 2 W 3.55
W  0.5000  0.5000  0.5000  12 La 3.55

The value obtained for the total DFT energy (no corrections) is -44.52 eV per cell.

---

no.,DOS at the Fermi energy (states/eV per cell)
1,10.8
2,3.6
3,4.6
4,9.3
5,8.0
6,14.4
7,9.8
8,10.4
9,4.1
10,3.6
11,9.8
12,3.6
13,5.7
14,3.6
15,3.3
16,5.6
17,2.4
18,5.6
19,18.6
20,13.7